Entry 1:
# PmTm2Sc (PBE, optimized geometry)
# - Uncorrected energy: -19.8 eV per cell
# - Mass density: 7.381 g cm⁻³
data_PmTm2Sc
_symmetry_space_group_name_H-M 'P 4/m m m'
_symmetry_Int_Tables_number 123
_symmetry_space_group_name_Hall '-P 4 2'
_cell_length_a 3.475
_cell_length_b 3.475
_cell_length_c 9.831
_cell_angle_alpha 90.00
_cell_angle_beta 90.00
_cell_angle_gamma 90.00
loop_
_atom_site_label
_atom_site_type_symbol
_atom_site_fract_x
_atom_site_fract_y
_atom_site_fract_z
Pm1 Pm 0.000 0.000 0.000
Tm1 Tm 0.500 0.500 0.264
Sc1 Sc 0.000 0.000 0.500

***

Entry 2:
# GaCuAs2 (PBE, optimized geometry)
# - Uncorrected energy: -46.2 eV per cell
# - Mass density: 5.524 g cm⁻³
data_GaCuAs2
_symmetry_space_group_name_H-M 'R -3 m'
_symmetry_Int_Tables_number 166
_symmetry_space_group_name_Hall '-R 3 2"'
_cell_length_a 3.5643
_cell_length_b 3.5643
_cell_length_c 23.2049
_cell_angle_alpha 90.00
_cell_angle_beta 90.00
_cell_angle_gamma 120.00
loop_
_atom_site_label
_atom_site_type_symbol
_atom_site_fract_x
_atom_site_fract_y
_atom_site_fract_z
Ga1 Ga 0.0000 0.0000 0.0000
Cu1 Cu 0.0000 0.0000 0.5000
As1 As 0.0000 0.0000 0.4012

***

Entry 3:
# BaPuSc2O8 (PBE, optimized geometry)
# - E_form (uncorrected): -2700 meV per atom
# - Uncorrected energy: -101.0 eV per cell
# - Mass density: 5.433 g cm⁻³
data_BaPuSc2O8
_symmetry_space_group_name_H-M 'P 1 2/m 1'
_symmetry_Int_Tables_number 10
_symmetry_space_group_name_Hall '-P 2y'
_cell_length_a 4.966
_cell_length_b 7.418
_cell_length_c 4.973
_cell_angle_alpha 90.00
_cell_angle_beta 91.10
_cell_angle_gamma 90.00
loop_
_atom_site_label
_atom_site_type_symbol
_atom_site_fract_x
_atom_site_fract_y
_atom_site_fract_z
Ba1 Ba 0.000 0.000 0.000
Pu1 Pu 0.000 0.500 0.000
Sc1 Sc 0.500 0.294 0.500
O1 O 0.197 0.300 0.197
O2 O 0.309 0.500 0.690
O3 O 0.393 0.000 0.605

***

Entry 4:
# ScTaV4 (PBE, optimized geometry)
# - Uncorrected energy: -215.9 eV per cell
# - Mass density: 7.525 g cm⁻³
data_ScTaV4
_symmetry_space_group_name_H-M 'F -4 3 m'
_symmetry_Int_Tables_number 216
_symmetry_space_group_name_Hall 'F -4 2 3'
_cell_length_a 7.238
_cell_length_b 7.238
_cell_length_c 7.238
_cell_angle_alpha 90.00
_cell_angle_beta 90.00
_cell_angle_gamma 90.00
loop_
_atom_site_label
_atom_site_type_symbol
_atom_site_fract_x
_atom_site_fract_y
_atom_site_fract_z
Sc1 Sc 0.000 0.000 0.000
Ta1 Ta 0.250 0.250 0.750
V1 V 0.125 0.125 0.375

***

Entry 5:
# Sm2GaGe3 (PBE, optimized geometry)
# - Uncorrected energy: -29.9 eV per cell
# - Mass density: 7.311 g cm⁻³
data_Sm2GaGe3
_symmetry_space_group_name_H-M 'P m m 2'
_symmetry_Int_Tables_number 25
_symmetry_space_group_name_Hall 'P 2 -2'
_cell_length_a 4.043
_cell_length_b 4.213
_cell_length_c 7.846
_cell_angle_alpha 90.00
_cell_angle_beta 90.00
_cell_angle_gamma 90.00
loop_
_atom_site_label
_atom_site_type_symbol
_atom_site_fract_x
_atom_site_fract_y
_atom_site_fract_z
Sm1 Sm 0.000 0.000 0.000
Sm2 Sm 0.000 0.500 0.491
Ga1 Ga 0.500 0.500 0.831
Ge1 Ge 0.500 0.000 0.330
Ge2 Ge 0.500 0.000 0.664
Ge3 Ge 0.500 0.500 0.151

***

Entry 6:
# Zn5PdAu (PBE, optimized geometry)
# - Uncorrected energy: -16.3 eV per cell
# - Mass density: 9.062 g cm⁻³
data_Zn5PdAu
_symmetry_space_group_name_H-M 'P 4/m m m'
_symmetry_Int_Tables_number 123
_symmetry_space_group_name_Hall '-P 4 2'
_cell_length_a 4.542
_cell_length_b 4.542
_cell_length_c 5.599
_cell_angle_alpha 90.00
_cell_angle_beta 90.00
_cell_angle_gamma 90.00
loop_
_atom_site_label
_atom_site_type_symbol
_atom_site_fract_x
_atom_site_fract_y
_atom_site_fract_z
Zn1 Zn 0.000 0.000 0.000
Zn2 Zn 0.000 0.500 0.268
Pd1 Pd 0.000 0.000 0.500
Au1 Au 0.500 0.500 0.000

***

Entry 7:
# CuSOF2 (PBE, optimized geometry)
# - E_form (uncorrected): -289 meV per atom
# - Uncorrected energy: -18.4 eV per cell
# - Mass density: 3.731 g cm⁻³
data_CuSOF2
_symmetry_space_group_name_H-M 'P 4/m m m'
_symmetry_Int_Tables_number 123
_symmetry_space_group_name_Hall '-P 4 2'
_cell_length_a 4.401
_cell_length_b 4.401
_cell_length_c 3.437
_cell_angle_alpha 90.00
_cell_angle_beta 90.00
_cell_angle_gamma 90.00
loop_
_atom_site_label
_atom_site_type_symbol
_atom_site_fract_x
_atom_site_fract_y
_atom_site_fract_z
Cu1 Cu 0.000 0.000 0.000
S1 S 0.500 0.500 0.500
O1 O 0.500 0.500 0.000
F1 F 0.000 0.500 0.500

***

Entry 8:
# Nd3HoSc3Se8 (PBE, optimized geometry)
# - E_form (uncorrected): -1772 meV per atom
# - Uncorrected energy: -277.0 eV per cell
# - Mass density: 6.069 g cm⁻³
data_Nd3HoSc3Se8
_symmetry_space_group_name_H-M 'R -3 m'
_symmetry_Int_Tables_number 166
_symmetry_space_group_name_Hall '-R 3 2"'
_cell_length_a 8.0079
_cell_length_b 8.0079
_cell_length_c 20.1624
_cell_angle_alpha 90.00
_cell_angle_beta 90.00
_cell_angle_gamma 120.00
loop_
_atom_site_label
_atom_site_type_symbol
_atom_site_fract_x
_atom_site_fract_y
_atom_site_fract_z
Nd1 Nd 0.0000 0.5000 0.0000
Ho1 Ho 0.0000 0.0000 0.5000
Sc1 Sc 0.0000 0.5000 0.5000
Se1 Se 0.0000 0.0000 0.2407
Se2 Se 0.0154 0.5077 0.7555

***

Entry 9:
# KTiVCl6 (PBE, optimized geometry)
# - E_form (uncorrected): -1538 meV per atom
# - Uncorrected energy: -86.1 eV per cell
# - Mass density: 2.331 g cm⁻³
data_KTiVCl6
_symmetry_space_group_name_H-M 'P -3 1 c'
_symmetry_Int_Tables_number 163
_symmetry_space_group_name_Hall '-P 3 2c'
_cell_length_a 6.3591
_cell_length_b 6.3591
_cell_length_c 14.2624
_cell_angle_alpha 90.00
_cell_angle_beta 90.00
_cell_angle_gamma 120.00
loop_
_atom_site_label
_atom_site_type_symbol
_atom_site_fract_x
_atom_site_fract_y
_atom_site_fract_z
K1 K 0.0000 0.0000 0.0000
Ti1 Ti 0.3333 0.6667 0.2500
V1 V 0.3333 0.6667 0.7500
Cl1 Cl 0.0005 0.3658 0.1520

***

Entry 10:
# Dy6TlTe3Pb2 (PBE, optimized geometry)
# - E_form (uncorrected): -875 meV per atom
# - Uncorrected energy: -114.6 eV per cell
# - Mass density: 9.064 g cm⁻³
data_Dy6TlTe3Pb2
_symmetry_space_group_name_H-M 'C 1 2/m 1'
_symmetry_Int_Tables_number 12
_symmetry_space_group_name_Hall '-C 2y'
_cell_length_a 19.410
_cell_length_b 4.393
_cell_length_c 8.856
_cell_angle_alpha 90.00
_cell_angle_beta 106.45
_cell_angle_gamma 90.00
loop_
_atom_site_label
_atom_site_type_symbol
_atom_site_fract_x
_atom_site_fract_y
_atom_site_fract_z
Dy1 Dy 0.001 0.000 0.252
Dy2 Dy 0.166 0.500 0.583
Dy3 Dy 0.169 0.500 0.074
Tl1 Tl 0.000 0.500 0.500
Te1 Te 0.000 0.500 0.000
Te2 Te 0.168 0.000 0.329
Pb1 Pb 0.164 0.000 0.827

***

Entry 11:
# Ho4CoI5 (PBE, optimized geometry)
# - E_form (uncorrected): -1020 meV per atom
# - Uncorrected energy: -86.7 eV per cell
# - Mass density: 6.661 g cm⁻³
data_Ho4CoI5
_symmetry_space_group_name_H-M 'C 1 2/m 1'
_symmetry_Int_Tables_number 12
_symmetry_space_group_name_Hall '-C 2y'
_cell_length_a 19.449
_cell_length_b 4.034
_cell_length_c 8.808
_cell_angle_alpha 90.00
_cell_angle_beta 102.51
_cell_angle_gamma 90.00
loop_
_atom_site_label
_atom_site_type_symbol
_atom_site_fract_x
_atom_site_fract_y
_atom_site_fract_z
Ho1 Ho 0.000 0.000 0.195
Ho2 Ho 0.138 0.500 0.071
Co1 Co 0.000 0.500 0.000
I1 I 0.000 0.500 0.500
I2 I 0.167 0.000 0.344
I3 I 0.176 0.000 0.829

***

Entry 12:
# CaVS (PBE, optimized geometry)
# - E_form (uncorrected): -804 meV per atom
# - Uncorrected energy: -35.3 eV per cell
# - Mass density: 3.209 g cm⁻³
data_CaVS
_symmetry_space_group_name_H-M 'P -1'
_symmetry_Int_Tables_number 2
_symmetry_space_group_name_Hall '-P 1'
_cell_length_a 3.724
_cell_length_b 3.999
_cell_length_c 8.662
_cell_angle_alpha 95.35
_cell_angle_beta 97.14
_cell_angle_gamma 91.51
loop_
_atom_site_label
_atom_site_type_symbol
_atom_site_fract_x
_atom_site_fract_y
_atom_site_fract_z
Ca1 Ca 0.200 0.215 0.319
V1 V 0.352 0.328 0.940
S1 S 0.295 0.281 0.658

***

Entry 13:
# Sm2Ga3Ni4Ru (PBE, optimized geometry)
# - Uncorrected energy: -55.5 eV per cell
# - Mass density: 8.467 g cm⁻³
data_Sm2Ga3Ni4Ru
_symmetry_space_group_name_H-M 'P -4 m 2'
_symmetry_Int_Tables_number 115
_symmetry_space_group_name_Hall 'P -4 -2'
_cell_length_a 3.966
_cell_length_b 3.966
_cell_length_c 10.543
_cell_angle_alpha 90.00
_cell_angle_beta 90.00
_cell_angle_gamma 90.00
loop_
_atom_site_label
_atom_site_type_symbol
_atom_site_fract_x
_atom_site_fract_y
_atom_site_fract_z
Sm1 Sm 0.000 0.500 0.245
Ga1 Ga 0.000 0.000 0.000
Ga2 Ga 0.000 0.500 0.629
Ni1 Ni 0.000 0.000 0.500
Ni2 Ni 0.000 0.500 0.858
Ni3 Ni 0.500 0.500 0.500
Ru1 Ru 0.500 0.500 0.000

***

Entry 14:
# Rb2HAuSe2 (PBE, optimized geometry)
# - Uncorrected energy: -67.9 eV per cell
# - Mass density: 5.188 g cm⁻³
data_Rb2HAuSe2
_symmetry_space_group_name_H-M 'I b a m'
_symmetry_Int_Tables_number 72
_symmetry_space_group_name_Hall '-I 2 2c'
_cell_length_a 7.334
_cell_length_b 13.502
_cell_length_c 6.812
_cell_angle_alpha 90.00
_cell_angle_beta 90.00
_cell_angle_gamma 90.00
loop_
_atom_site_label
_atom_site_type_symbol
_atom_site_fract_x
_atom_site_fract_y
_atom_site_fract_z
Rb1 Rb 0.180 0.158 0.000
H1 H 0.000 0.000 0.250
Au1 Au 0.000 0.500 0.250
Se1 Se 0.241 0.423 0.000

***

Entry 15:
# K2Cd4Hg3 (PBE, optimized geometry)
# - Uncorrected energy: -31.5 eV per cell
# - Mass density: 7.133 g cm⁻³
data_K2Cd4Hg3
_symmetry_space_group_name_H-M 'C m c e'
_symmetry_Int_Tables_number 64
_symmetry_space_group_name_Hall '-C 2ac 2'
_cell_length_a 6.645
_cell_length_b 17.804
_cell_length_c 8.891
_cell_angle_alpha 90.00
_cell_angle_beta 90.00
_cell_angle_gamma 90.00
loop_
_atom_site_label
_atom_site_type_symbol
_atom_site_fract_x
_atom_site_fract_y
_atom_site_fract_z
K1 K 0.000 0.102 0.107
Cd1 Cd 0.000 0.179 0.493
Cd2 Cd 0.250 0.072 0.750
Hg1 Hg 0.000 0.000 0.500
Hg2 Hg 0.250 0.241 0.750

***

Entry 16:
# LaTlRe (PBE, optimized geometry)
# - Uncorrected energy: -17.9 eV per cell
# - Mass density: 12.583 g cm⁻³
data_LaTlRe
_symmetry_space_group_name_H-M 'P -6 m 2'
_symmetry_Int_Tables_number 187
_symmetry_space_group_name_Hall 'P -6 2'
_cell_length_a 5.1784
_cell_length_b 5.1784
_cell_length_c 3.0090
_cell_angle_alpha 90.00
_cell_angle_beta 90.00
_cell_angle_gamma 120.00
loop_
_atom_site_label
_atom_site_type_symbol
_atom_site_fract_x
_atom_site_fract_y
_atom_site_fract_z
La1 La 0.0000 0.0000 0.0000
Tl1 Tl 0.3333 0.6667 0.5000
Re1 Re 0.6667 0.3333 0.5000

***

Entry 17:
# PrDyZnIn (PBE, optimized geometry)
# - Uncorrected energy: -15.0 eV per cell
# - Mass density: 7.679 g cm⁻³
data_PrDyZnIn
_symmetry_space_group_name_H-M 'P 4 m m'
_symmetry_Int_Tables_number 99
_symmetry_space_group_name_Hall 'P 4 -2'
_cell_length_a 3.706
_cell_length_b 3.706
_cell_length_c 7.615
_cell_angle_alpha 90.00
_cell_angle_beta 90.00
_cell_angle_gamma 90.00
loop_
_atom_site_label
_atom_site_type_symbol
_atom_site_fract_x
_atom_site_fract_y
_atom_site_fract_z
Pr1 Pr 0.000 0.000 0.000
Dy1 Dy 0.000 0.000 0.539
Zn1 Zn 0.500 0.500 0.747
In1 In 0.500 0.500 0.283

***

Entry 18:
# Sc4VBi2 (PBE, optimized geometry)
# - Uncorrected energy: -84.3 eV per cell
# - Mass density: 6.168 g cm⁻³
data_Sc4VBi2
_symmetry_space_group_name_H-M 'I 4/m m m'
_symmetry_Int_Tables_number 139
_symmetry_space_group_name_Hall '-I 4 2'
_cell_length_a 4.699
_cell_length_b 4.699
_cell_length_c 15.821
_cell_angle_alpha 90.00
_cell_angle_beta 90.00
_cell_angle_gamma 90.00
loop_
_atom_site_label
_atom_site_type_symbol
_atom_site_fract_x
_atom_site_fract_y
_atom_site_fract_z
Sc1 Sc 0.000 0.000 0.173
Sc2 Sc 0.000 0.500 0.000
V1 V 0.000 0.000 0.000
Bi1 Bi 0.000 0.000 0.359

***

Entry 19:
# BaSr2Al2As4 (PBE, optimized geometry)
# - Uncorrected energy: -78.6 eV per cell
# - Mass density: 4.058 g cm⁻³
data_BaSr2Al2As4
_symmetry_space_group_name_H-M 'C 1 2/m 1'
_symmetry_Int_Tables_number 12
_symmetry_space_group_name_Hall '-C 2y'
_cell_length_a 17.187
_cell_length_b 4.168
_cell_length_c 8.774
_cell_angle_alpha 90.00
_cell_angle_beta 119.85
_cell_angle_gamma 90.00
loop_
_atom_site_label
_atom_site_type_symbol
_atom_site_fract_x
_atom_site_fract_y
_atom_site_fract_z
Ba1 Ba 0.000 0.000 0.000
Sr1 Sr 0.115 0.000 0.642
Al1 Al 0.171 0.500 0.380
As1 As 0.016 0.500 0.308
As2 As 0.225 0.000 0.283

***

Entry 20:
# NdBeNi3 (PBE, optimized geometry)
# - Uncorrected energy: -26.7 eV per cell
# - Mass density: 7.558 g cm⁻³
data_NdBeNi3
_symmetry_space_group_name_H-M 'P m -3 m'
_symmetry_Int_Tables_number 221
_symmetry_space_group_name_Hall '-P 4 2 3'
_cell_length_a 4.167
_cell_length_b 4.167
_cell_length_c 4.167
_cell_angle_alpha 90.00
_cell_angle_beta 90.00
_cell_angle_gamma 90.00
loop_
_atom_site_label
_atom_site_type_symbol
_atom_site_fract_x
_atom_site_fract_y
_atom_site_fract_z
Nd1 Nd 0.000 0.000 0.000
Be1 Be 0.500 0.500 0.500
Ni1 Ni 0.000 0.500 0.500

***

Entry 21:
# Ge2TePd7 (PBE, optimized geometry)
# - E_form (uncorrected): -386 meV per atom
# - Uncorrected energy: -105.2 eV per cell
# - Mass density: 9.962 g cm⁻³
data_Ge2TePd7
_symmetry_space_group_name_H-M 'I 4/m m m'
_symmetry_Int_Tables_number 139
_symmetry_space_group_name_Hall '-I 4 2'
_cell_length_a 4.079
_cell_length_b 4.079
_cell_length_c 20.390
_cell_angle_alpha 90.00
_cell_angle_beta 90.00
_cell_angle_gamma 90.00
loop_
_atom_site_label
_atom_site_type_symbol
_atom_site_fract_x
_atom_site_fract_y
_atom_site_fract_z
Ge1 Ge 0.000 0.000 0.175
Te1 Te 0.000 0.000 0.500
Pd1 Pd 0.000 0.000 0.000
Pd2 Pd 0.000 0.500 0.104
Pd3 Pd 0.000 0.500 0.250

***

Entry 22:
# TiMnAs2Se (PBE, optimized geometry)
# - E_form (uncorrected): 302 meV per atom
# - Uncorrected energy: -28.3 eV per cell
# - Mass density: 5.296 g cm⁻³
data_TiMnAs2Se
_symmetry_space_group_name_H-M 'P 4/m m m'
_symmetry_Int_Tables_number 123
_symmetry_space_group_name_Hall '-P 4 2'
_cell_length_a 4.593
_cell_length_b 4.593
_cell_length_c 4.929
_cell_angle_alpha 90.00
_cell_angle_beta 90.00
_cell_angle_gamma 90.00
loop_
_atom_site_label
_atom_site_type_symbol
_atom_site_fract_x
_atom_site_fract_y
_atom_site_fract_z
Ti1 Ti 0.000 0.000 0.000
Mn1 Mn 0.500 0.500 0.500
As1 As 0.000 0.500 0.500
Se1 Se 0.500 0.500 0.000

***

Entry 23:
# Lu2NbNi (PBE, optimized geometry)
# - Uncorrected energy: -25.3 eV per cell
# - Mass density: 10.274 g cm⁻³
data_Lu2NbNi
_symmetry_space_group_name_H-M 'P 4/m m m'
_symmetry_Int_Tables_number 123
_symmetry_space_group_name_Hall '-P 4 2'
_cell_length_a 3.220
_cell_length_b 3.220
_cell_length_c 7.818
_cell_angle_alpha 90.00
_cell_angle_beta 90.00
_cell_angle_gamma 90.00
loop_
_atom_site_label
_atom_site_type_symbol
_atom_site_fract_x
_atom_site_fract_y
_atom_site_fract_z
Lu1 Lu 0.000 0.000 0.215
Nb1 Nb 0.500 0.500 0.500
Ni1 Ni 0.500 0.500 0.000

***

Entry 24:
# MoAsAu (PBE, optimized geometry)
# - Uncorrected energy: -71.8 eV per cell
# - Mass density: 10.679 g cm⁻³
data_MoAsAu
_symmetry_space_group_name_H-M 'F m m 2'
_symmetry_Int_Tables_number 42
_symmetry_space_group_name_Hall 'F 2 -2'
_cell_length_a 3.821
_cell_length_b 4.268
_cell_length_c 14.027
_cell_angle_alpha 90.00
_cell_angle_beta 90.00
_cell_angle_gamma 90.00
loop_
_atom_site_label
_atom_site_type_symbol
_atom_site_fract_x
_atom_site_fract_y
_atom_site_fract_z
Mo1 Mo 0.000 0.000 0.000
As1 As 0.000 0.000 0.630
Au1 Au 0.000 0.000 0.354